1.
! LaSm2Pt | the Alexandria database | GGA-PBE | optimized geometry; values from VASP
! symmetry: Cmcm (63)
! spin magnetization: 0.00 μB per formula unit
! energy relative to the lowest polymorph listed for this composition: 33 meV per atom
&SYSTEM
  ibrav = 0, nat = 8, ntyp = 3
/
ATOMIC_SPECIES
La 138.91 La.upf
Sm 150.36 Sm.upf
Pt 195.08 Pt.upf
CELL_PARAMETERS angstrom
3.915 -0.157 0.000
-1.707 6.212 0.000
0.000 0.000 9.951
ATOMIC_POSITIONS crystal
La 0.424 0.848 0.250
La 0.576 0.152 0.750
Sm 0.140 0.279 0.436
Sm 0.860 0.721 0.564
Sm 0.860 0.721 0.936
Sm 0.140 0.279 0.064
Pt 0.734 0.469 0.250
Pt 0.266 0.531 0.750



2.
! LaSm2Pt2 | the Alexandria database | GGA-PBE | optimized geometry; values from VASP
! symmetry: P2_1/m (11)
! total energy: -62.593 eV for the cell shown
! spin magnetization: 0.00 μB per formula unit
&SYSTEM
  ibrav = 0, nat = 10, ntyp = 3
/
ATOMIC_SPECIES
La 138.91 La.upf
Sm 150.36 Sm.upf
Pt 195.08 Pt.upf
CELL_PARAMETERS angstrom
4.658 0.000 0.000
0.000 5.646 -0.856
0.000 -0.003 10.741
ATOMIC_POSITIONS crystal
La 0.250 0.444 0.214
La 0.750 0.556 0.786
Sm 0.250 0.116 0.885
Sm 0.750 0.227 0.467
Sm 0.250 0.773 0.533
Sm 0.750 0.884 0.115
Pt 0.750 0.696 0.368
Pt 0.750 0.337 0.025
Pt 0.250 0.304 0.632
Pt 0.250 0.663 0.975



3.
! LaSmPt3 | the Alexandria database | GGA-PBE | optimized geometry; values from VASP
! symmetry: Pnnm (58)
! total energy: -132.551 eV for the cell shown
! spin magnetization: 0.00 μB per formula unit
&SYSTEM
  ibrav = 0, nat = 20, ntyp = 3
/
ATOMIC_SPECIES
La 138.91 La.upf
Sm 150.36 Sm.upf
Pt 195.08 Pt.upf
CELL_PARAMETERS angstrom
-6.050 -0.959 3.563
-3.716 -1.860 -6.810
1.860 -7.694 1.087
ATOMIC_POSITIONS crystal
La 0.214 0.637 0.500
La 0.286 0.137 0.000
La 0.786 0.363 0.500
La 0.714 0.863 0.000
Sm 0.288 0.135 0.500
Sm 0.712 0.865 0.500
Sm 0.788 0.365 0.000
Sm 0.212 0.635 0.000
Pt 0.621 0.146 0.253
Pt 0.121 0.354 0.753
Pt 0.500 0.500 0.241
Pt 0.000 0.000 0.259
Pt 0.500 0.500 0.759
Pt 0.379 0.854 0.747
Pt 0.379 0.854 0.253
Pt 0.621 0.146 0.747
Pt 0.879 0.646 0.247
Pt 0.000 0.000 0.741
Pt 0.879 0.646 0.753
Pt 0.121 0.354 0.247



4.
! La2SmPt | the Alexandria database | GGA-PBE | optimized geometry; values from VASP
! symmetry: Pnma (62)
! spin magnetization: 0.00 μB per formula unit
! energy relative to the lowest polymorph listed for this composition: 0 meV per atom
&SYSTEM
  ibrav = 0, nat = 16, ntyp = 3
/
ATOMIC_SPECIES
La 138.91 La.upf
Sm 150.36 Sm.upf
Pt 195.08 Pt.upf
CELL_PARAMETERS angstrom
-5.521 -3.546 -1.107
3.976 -6.124 -0.211
-1.277 -1.179 10.147
ATOMIC_POSITIONS crystal
La 0.173 0.677 0.063
La 0.327 0.177 0.437
La 0.827 0.323 0.563
La 0.673 0.823 0.937
La 0.827 0.323 0.937
La 0.673 0.823 0.563
La 0.173 0.677 0.437
La 0.327 0.177 0.063
Sm 0.651 0.529 0.250
Sm 0.849 0.029 0.250
Sm 0.349 0.471 0.750
Sm 0.151 0.971 0.750
Pt 0.066 0.379 0.250
Pt 0.434 0.879 0.250
Pt 0.934 0.621 0.750
Pt 0.566 0.121 0.750